(1)
Mn2TcI PBE relaxed; energy = -6.369 eV/atom; relative energy among the computed polymorphs = 183 meV/atom; formation energy (no corrections) = 1195 meV per atom; DOS(E_F) = 0.63 states/eV/atom
1.0
-2.731 2.731 5.572
2.731 -2.731 5.572
2.731 2.731 -5.572
Mn Tc I
4 2 2
direct
0.085 0.625 0.960
0.375 0.335 0.460
0.665 0.125 0.040
0.875 0.915 0.540
0.000 0.000 0.000
0.750 0.250 0.500
0.250 0.750 0.500
0.500 0.500 0.000

***

(2)
TaCr2Hg PBE relaxed; energy = -7.318 eV/atom; energy relative to the elements = 51.3 kJ per mole of atoms; DOS(E_F) = 0.97 states/eV/atom
1.0
4.690 -1.464 0.000
4.690 1.464 0.000
-0.937 0.000 5.013
Ta Cr Hg
1 2 1
direct
0.000 0.000 0.000
0.244 0.244 0.839
0.756 0.756 0.161
0.500 0.500 0.500

***

(3)
La3Nd8Tl PBE relaxed; energy = -4.209 eV/atom; energy relative to the elements = 38.5 kJ per mole of atoms; DOS(E_F) = 1.53 states/eV/atom
1.0
-4.398 4.398 5.835
4.398 -4.398 5.835
4.398 4.398 -5.835
La Nd Tl
3 8 1
direct
0.000 0.000 0.000
0.250 0.750 0.500
0.750 0.250 0.500
0.122 0.373 0.000
0.233 0.741 0.000
0.259 0.259 0.493
0.373 0.122 0.000
0.627 0.627 0.750
0.741 0.233 0.000
0.767 0.767 0.507
0.878 0.878 0.250
0.500 0.500 0.000

***

(4)
CsSc2Cl6 PBE relaxed; energy = -4.784 eV/atom; formation energy (no corrections) = -2051 meV per atom; DOS(E_F) = 0.64 states/eV/atom
1.0
6.598 0.000 0.000
-3.299 5.714 0.000
0.000 0.000 7.992
Cs Sc Cl
1 2 6
direct
0.000 0.000 0.000
0.333 0.667 0.500
0.667 0.333 0.500
0.000 0.369 0.685
0.000 0.631 0.315
0.369 0.000 0.685
0.369 0.369 0.315
0.631 0.000 0.315
0.631 0.631 0.685

***

(5)
LaTb2IO8 PBE relaxed; energy = -6.943 eV/atom; formation energy (no corrections) = -2326 meV per atom
1.0
3.578 -3.588 0.000
3.578 3.588 0.000
0.000 0.000 7.070
La Tb I O
1 2 1 8
direct
0.000 0.000 0.000
0.500 0.500 0.251
0.500 0.500 0.749
0.000 0.000 0.500
0.183 0.183 0.303
0.183 0.183 0.697
0.266 0.734 0.500
0.317 0.683 0.000
0.683 0.317 0.000
0.734 0.266 0.500
0.817 0.817 0.303
0.817 0.817 0.697

***

(6)
AsOs PBE relaxed; energy = -7.488 eV/atom; energy relative to the elements = 43.6 kJ per mole of atoms; DOS(E_F) = 0.83 states/eV/atom
1.0
-3.732 3.732 3.732
3.732 -3.732 3.732
3.732 3.732 -3.732
As Os
4 4
direct
0.000 0.000 0.627
0.000 0.627 0.000
0.373 0.373 0.373
0.627 0.000 0.000
0.000 0.000 0.262
0.000 0.262 0.000
0.262 0.000 0.000
0.738 0.738 0.738

***

(7)
MgFeSe2 PBE relaxed; energy = -4.657 eV/atom; formation energy (no corrections) = -401 meV per atom; DOS(E_F) = 0.74 states/eV/atom
1.0
-1.727 1.772 6.325
1.727 -1.772 6.325
1.727 1.772 -6.325
Mg Fe Se
1 1 2
direct
0.000 0.000 0.000
0.745 0.245 0.500
0.328 0.828 0.500
0.591 0.591 0.000

***

(8)
U2Ni3Ge5 PBE relaxed; energy = -6.579 eV/atom; energy relative to the elements = -26.9 kJ per mole of atoms; DOS(E_F) = 1.52 states/eV/atom
1.0
2.105 -12.073 0.000
2.105 12.073 0.000
0.000 0.000 6.572
U Ni Ge
4 6 10
direct
0.020 0.980 0.500
0.327 0.673 0.495
0.673 0.327 0.995
0.980 0.020 0.000
0.106 0.894 0.238
0.281 0.719 0.014
0.445 0.555 0.283
0.555 0.445 0.783
0.719 0.281 0.514
0.894 0.106 0.738
0.098 0.902 0.855
0.207 0.793 0.297
0.215 0.785 0.716
0.380 0.620 0.991
0.450 0.550 0.673
0.550 0.450 0.173
0.620 0.380 0.491
0.785 0.215 0.216
0.793 0.207 0.797
0.902 0.098 0.355

***

(9)
Ta2HIr PBE relaxed; energy = -9.195 eV/atom; relative energy among the computed polymorphs = 0 meV/atom; DOS(E_F) = 0.55 states/eV/atom
1.0
1.450 0.837 7.202
-1.450 0.837 7.202
0.000 -1.674 7.202
Ta H Ir
2 1 1
direct
0.229 0.229 0.229
0.771 0.771 0.771
0.500 0.500 0.500
0.000 0.000 0.000

***

(10)
Rb2NbZnS4 PBE relaxed; energy = -4.688 eV/atom; formation energy (no corrections) = -964 meV per atom; DOS(E_F) = 0.39 states/eV/atom
1.0
-3.610 3.610 4.573
3.610 -3.610 4.573
3.610 3.610 -4.573
Rb Nb Zn S
2 1 1 4
direct
0.000 0.000 0.000
0.750 0.250 0.500
0.500 0.500 0.000
0.250 0.750 0.500
0.226 0.603 0.099
0.397 0.495 0.623
0.505 0.127 0.901
0.873 0.774 0.377

***

(11)
La4YEr3 PBE relaxed; energy = -4.951 eV/atom; energy relative to the elements = 3.1 kJ per mole of atoms; DOS(E_F) = 1.67 states/eV/atom
1.0
5.150 0.000 0.000
0.000 10.303 0.000
0.000 0.000 10.233
La Y Er
8 2 6
direct
0.250 0.001 0.127
0.250 0.250 0.874
0.250 0.499 0.127
0.250 0.750 0.872
0.750 0.250 0.128
0.750 0.501 0.873
0.750 0.750 0.126
0.750 0.999 0.873
0.250 0.750 0.384
0.750 0.250 0.616
0.250 0.000 0.616
0.250 0.250 0.383
0.250 0.500 0.616
0.750 0.000 0.384
0.750 0.500 0.384
0.750 0.750 0.617

***

(12)
CuBi2SbS5 PBE relaxed; energy = -4.323 eV/atom; formation energy (no corrections) = -254 meV per atom
1.0
1.959 -8.890 0.000
1.959 8.890 0.000
0.000 0.000 12.329
Cu Bi Sb S
2 4 2 10
direct
0.073 0.927 0.500
0.927 0.073 0.000
0.388 0.612 0.309
0.416 0.584 0.699
0.584 0.416 0.199
0.612 0.388 0.809
0.274 0.726 0.060
0.726 0.274 0.560
0.014 0.986 0.332
0.130 0.870 0.044
0.197 0.803 0.431
0.206 0.794 0.743
0.451 0.549 0.102
0.549 0.451 0.602
0.794 0.206 0.243
0.803 0.197 0.931
0.870 0.130 0.544
0.986 0.014 0.832